(1)
# Pm2AsIr, optimized geometry, DFT PBE
# Energy relative to the elements ... -0.889 eV per atom
# Final energy ... -79.7 eV per cell
data_Pm2AsIr
_chemical_formula_sum 'Pm6 As3 Ir3'
_space_group_name_H-M_alt 'R -3 m'
_space_group_IT_number 166
_space_group_name_Hall '-R 3 2"'
_cell_length_a 4.1927
_cell_length_b 4.1927
_cell_length_c 20.5329
_cell_angle_alpha 90.00
_cell_angle_beta 90.00
_cell_angle_gamma 120.00
loop_
_atom_site_label
_atom_site_fract_x
_atom_site_fract_y
_atom_site_fract_z
Pm1 0.0000 0.0000 0.2470
As1 0.0000 0.0000 0.0000
Ir1 0.0000 0.0000 0.5000

=====

(2)
# Co2SiNi, optimized geometry, DFT PBE
# Formation energy (no corrections) ... -250 meV/atom
# Final energy ... -26.4 eV per cell
data_Co2SiNi
_chemical_formula_sum 'Co2 Si1 Ni1'
_space_group_name_H-M_alt 'P 1 2/m 1'
_space_group_IT_number 10
_cell_length_a 4.151
_cell_length_b 2.586
_cell_length_c 4.204
_cell_angle_alpha 90.00
_cell_angle_beta 106.75
_cell_angle_gamma 90.00
loop_
_space_group_symop_operation_xyz
'x,y,z'
'-x,-y,-z'
'-x,y,-z'
'x,-y,z'
loop_
_atom_site_label
_atom_site_fract_x
_atom_site_fract_y
_atom_site_fract_z
Co1 0.000 0.000 0.000
Co2 0.000 0.500 0.500
Si1 0.500 0.000 0.500
Ni1 0.500 0.500 0.000

=====

(3)
# Ca8GaSi2, optimized geometry, DFT PBE
# Formation energy (no corrections) ... -206 meV/atom
# Final energy ... -64.3 eV per cell
data_Ca8GaSi2
_chemical_formula_sum 'Ca16 Ga2 Si4'
_space_group_name_H-M_alt 'I m m m'
_space_group_IT_number 71
_space_group_name_Hall '-I 2 2'
_cell_length_a 5.053
_cell_length_b 8.191
_cell_length_c 15.226
_cell_angle_alpha 90.00
_cell_angle_beta 90.00
_cell_angle_gamma 90.00
loop_
_atom_site_label
_atom_site_fract_x
_atom_site_fract_y
_atom_site_fract_z
Ca1 0.000 0.000 0.146
Ca2 0.000 0.218 0.342
Ca3 0.000 0.311 0.000
Ga1 0.000 0.500 0.500
Si1 0.000 0.500 0.190

=====

(4)
# Ac2Sn4Ir3Ru, optimized geometry, DFT PBE
# Energy relative to the elements ... -0.559 eV per atom
# Final energy ... -65.7 eV per cell
data_Ac2Sn4Ir3Ru
_chemical_formula_sum 'Ac2 Sn4 Ir3 Ru1'
_space_group_name_H-M_alt 'P -4 m 2'
_space_group_IT_number 115
_cell_length_a 4.622
_cell_length_b 4.622
_cell_length_c 10.785
_cell_angle_alpha 90.00
_cell_angle_beta 90.00
_cell_angle_gamma 90.00
loop_
_space_group_symop_operation_xyz
'x,y,z'
'y,-x,-z'
'-x,-y,z'
'-y,x,-z'
'-x,y,z'
'-y,-x,-z'
'x,-y,z'
'y,x,-z'
loop_
_atom_site_label
_atom_site_fract_x
_atom_site_fract_y
_atom_site_fract_z
Ac1 0.000 0.500 0.244
Sn1 0.000 0.000 0.500
Sn2 0.000 0.500 0.876
Sn3 0.500 0.500 0.500
Ir1 0.000 0.000 0.000
Ir2 0.000 0.500 0.630
Ru1 0.500 0.500 0.000